Entry A
Ca2ScCl: relaxed, PBE.

```
Ca2ScCl
1.0
-1.1459 -6.3228 7.8227
-1.1362 -8.7070 5.0381
2.0335 -7.5296 6.4541
Sc Ca Cl
1 2 1
direct
0.7665 0.7665 0.7665
0.0066 0.0066 0.0066
0.2323 0.2323 0.2323
0.4946 0.4946 0.4946
```

Entry B
Ca2ScCl: relaxed, PBE.

```
Ca2ScCl
1.0
7.2397 0.0003 0.0000
4.5227 5.6532 0.0000
-5.8812 -2.8268 3.1360
Sc Ca Cl
1 2 1
direct
0.7500 0.2500 0.5000
0.0000 0.0000 0.0000
0.2500 0.7500 0.5000
0.5000 0.5000 0.0000
```

Which structure is the least stable? The one labeled entry B.

Entry A
Ca2ScCl: relaxed, PBE.

```
Ca2ScCl
1.0
6.3646 0.0154 0.0000
2.6718 5.7767 0.0000
-4.5182 -2.8960 3.4216
Sc Ca Cl
1 2 1
direct
0.7500 0.2500 0.5000
0.0000 0.0000 0.0000
0.5000 0.5000 0.0000
0.2500 0.7500 0.5000
```

Entry B
Ca2ScCl: relaxed, PBE.

```
Ca2ScCl
1.0
9.9896 -0.0019 -0.0011
9.3053 3.6337 -0.0011
9.3053 1.7515 3.1837
Sc Ca Cl
1 2 1
direct
0.7500 0.7500 0.7500
0.9896 0.9896 0.9896
0.5104 0.5104 0.5104
0.2500 0.2500 0.2500
```

Which structure is the least stable? The one labeled entry A.

Entry A
Ca2ScCl: relaxed, PBE.

```
Ca2ScCl
1.0
3.6043 0.0067 0.0000
-1.6544 3.2022 0.0000
0.0000 0.0000 10.2142
Sc Ca Cl
1 2 1
direct
0.5000 0.5000 0.7127
0.0000 0.0000 0.9824
0.5000 0.5000 0.2927
0.0000 0.0000 0.5122
```

Entry B
Ca2ScCl: relaxed, PBE.

```
Ca2ScCl
1.0
-4.6911 3.0874 3.3988
-4.3785 -0.1384 4.8887
1.4133 2.8201 5.8093
Sc Ca Cl
1 2 1
direct
0.2500 0.2500 0.2500
0.0457 0.0457 0.9543
0.4543 0.4543 0.5457
0.7500 0.7500 0.7500
```

Which structure is the least stable? The one labeled entry B.